Pr5Pa2Te12: relaxed, PBE-GGA.

Energy relative to the elements, uncorrected, eV per atom: -1.176
Total magnetic moment, Bohr magnetons per cell: 1.1
DOS(E_F), states/eV/cell: 3.12
Calculated volume, Å³/f.u.: 721.7
Total DFT energy (no corrections), eV/atom: -5.418

Cell lengths 9.8128, 9.8128, 10.1896 Å; angles 105.42, 105.42, 50.32 degrees
Atoms (fractional coordinates):
Pr: 0.0000 0.0000 0.0000
Pr: 0.2930 0.2930 0.1375
Pr: 0.3155 0.3155 0.6748
Pr: 0.6845 0.6845 0.3252
Pr: 0.7070 0.7070 0.8625
Pa: 0.2662 0.7338 0.5000
Pa: 0.7338 0.2662 0.5000
Te: 0.0059 0.0059 0.3064
Te: 0.0857 0.5638 0.4071
Te: 0.1048 0.6007 0.9360
Te: 0.3993 0.8952 0.0640
Te: 0.4362 0.9143 0.5929
Te: 0.4954 0.4954 0.2663
Te: 0.5046 0.5046 0.7337
Te: 0.5638 0.0857 0.4071
Te: 0.6007 0.1048 0.9360
Te: 0.8952 0.3993 0.0640
Te: 0.9143 0.4362 0.5929
Te: 0.9941 0.9941 0.6936